1.
Entry from Alexandria: a relaxed La2HgBIr crystal (PBE-GGA).

Values from the calculation:
ΔE_f: -0.47 eV/atom
symmetry: No. 123
theoretical density: 9.33 g cm⁻³
raw total energy: -28.07 eV for the cell shown

Cell lengths 5.482, 5.482, 4.035 Å; angles 90.00, 90.00, 90.00 degrees
Positions (direct):
B 0.000 0.000 0.000
Ir 0.000 0.000 0.500
Hg 0.500 0.500 0.500
La 0.000 0.500 0.000
La 0.500 0.000 0.000

2.
Entry from Alexandria: a relaxed TiF3 crystal (PBE-GGA).

Values from the calculation:
formation energy from raw total energies: -3.12 eV/atom
symmetry: No. 15
theoretical density: 2.79 g cm⁻³
raw total energy: -51.98 eV for the cell shown

Cell lengths 5.549, 5.549, 5.165 Å; angles 72.37, 72.37, 111.29 degrees
Site moments in Bohr magnetons follow the coordinates.
Positions (direct):
Ti 0.000 0.000 0.500  0.38
Ti 0.000 0.000 0.000  0.38
F 0.667 0.833 0.416  0.00
F 0.834 0.166 0.750  0.00
F 0.167 0.333 0.084  0.00
F 0.333 0.167 0.584  0.00
F 0.166 0.834 0.250  0.00
F 0.833 0.667 0.916  0.00

3.
Entry from Alexandria: a relaxed HgSbO2F crystal (PBE-GGA).

Values from the calculation:
formation energy from raw total energies: -0.92 eV/atom
symmetry: No. 123
theoretical density: 8.13 g cm⁻³
raw total energy: -20.84 eV for the cell shown

Cell lengths 4.146, 4.146, 4.437 Å; angles 90.00, 90.00, 90.00 degrees
Positions (direct):
Sb 0.000 0.000 0.000
Hg 0.500 0.500 0.500
O 0.000 0.500 0.000
O 0.500 0.000 0.000
F 0.000 0.000 0.500

4.
Entry from Alexandria: a relaxed PuMnZn11 crystal (PBE-GGA).

Values from the calculation:
ΔE_f: -0.07 eV/atom
symmetry: No. 12
theoretical density: 8.16 g cm⁻³
raw total energy: -38.46 eV for the cell shown

Cell lengths 5.160, 6.851, 6.811 Å; angles 81.97, 67.74, 68.37 degrees
Site moments in Bohr magnetons follow the coordinates.
Positions (direct):
Pu 0.000 0.000 0.000  5.30
Mn 0.500 0.500 0.000  3.11
Zn 0.285 0.219 0.217  0.00
Zn 0.715 0.781 0.783  0.00
Zn 0.498 0.781 0.217  0.00
Zn 0.502 0.219 0.783  0.00
Zn 0.364 0.645 0.653  0.00
Zn 0.636 0.355 0.347  0.00
Zn 0.983 0.355 0.653  0.00
Zn 0.017 0.645 0.347  0.00
Zn 0.000 0.500 0.000  -0.03
Zn 0.500 0.000 0.500  0.00
Zn 0.000 0.000 0.500  0.00

5.
Entry from Alexandria: a relaxed Sc4ZnGa2Cu crystal (PBE-GGA).

Values from the calculation:
ΔE_f: -0.49 eV/atom
symmetry: No. 166
theoretical density: 5.02 g cm⁻³
raw total energy: -40.69 eV for the cell shown

Cell lengths 4.715, 4.715, 8.173 Å; angles 73.24, 73.24, 60.00 degrees
Positions (direct):
Sc 0.377 0.377 0.870
Sc 0.873 0.873 0.380
Sc 0.127 0.127 0.620
Sc 0.623 0.623 0.130
Zn 0.000 0.000 0.000
Ga 0.749 0.749 0.752
Ga 0.251 0.251 0.248
Cu 0.500 0.500 0.500

6.
Entry from Alexandria: a relaxed ScCdMo2 crystal (PBE-GGA).

Values from the calculation:
ΔE_f: 0.28 eV/atom
symmetry: No. 12
theoretical density: 8.10 g cm⁻³
raw total energy: -27.80 eV for the cell shown

Cell lengths 5.542, 5.542, 2.779 Å; angles 81.59, 81.59, 118.90 degrees
Positions (direct):
Cd 0.000 0.500 0.500
Mo 0.000 0.000 0.000
Mo 0.500 0.500 0.000
Sc 0.500 0.000 0.500

7.
Entry from Alexandria: a relaxed Li2ErMgTl2 crystal (PBE-GGA).

Values from the calculation:
ΔE_f: -0.26 eV/atom
symmetry: No. 164
theoretical density: 7.64 g cm⁻³
raw total energy: -16.25 eV for the cell shown

Cell lengths 4.843, 4.843, 6.574 Å; angles 90.00, 90.00, 120.00 degrees
Positions (direct):
Li 0.333 0.667 0.698
Li 0.667 0.333 0.302
Er 0.000 0.000 0.000
Mg 0.000 0.000 0.500
Tl 0.333 0.667 0.232
Tl 0.667 0.333 0.768

8.
Entry from Alexandria: a relaxed LaZnGa2 crystal (PBE-GGA).

Values from the calculation:
ΔE_f: -0.37 eV/atom
symmetry: No. 123
theoretical density: 6.43 g cm⁻³
raw total energy: -13.74 eV for the cell shown

Cell lengths 4.429, 4.478, 4.478 Å; angles 90.00, 90.00, 90.00 degrees
Positions (direct):
Zn 0.500 0.000 0.000
Ga 0.000 0.000 0.500
Ga 0.000 0.500 0.000
La 0.500 0.500 0.500

9.
Entry from Alexandria: a relaxed Li2Pm2PrPb2 crystal (PBE-GGA).

Values from the calculation:
ΔE_f: -0.35 eV/atom
symmetry: No. 166
theoretical density: 7.35 g cm⁻³
raw total energy: -28.00 eV for the cell shown

Cell lengths 4.904, 4.904, 9.739 Å; angles 75.42, 75.42, 60.00 degrees
Positions (direct):
Li 0.594 0.594 0.218
Li 0.406 0.406 0.782
Pm 0.130 0.130 0.610
Pm 0.870 0.870 0.390
Pr 0.000 0.000 0.000
Pb 0.737 0.737 0.789
Pb 0.263 0.263 0.211

10.
Entry from Alexandria: a relaxed Ac2Pr5Y3 crystal (PBE-GGA).

Values from the calculation:
ΔE_f: 0.19 eV/atom
symmetry: No. 15
theoretical density: 6.33 g cm⁻³
raw total energy: -99.14 eV for the cell shown

Cell lengths 10.654, 10.709, 11.756 Å; angles 131.74, 131.65, 62.35 degrees
Positions (direct):
Ac 0.777 0.029 0.753
Ac 0.223 0.971 0.247
Ac 0.475 0.723 0.753
Ac 0.525 0.277 0.247
Pr 0.259 0.509 0.018
Pr 0.741 0.491 0.982
Pr 0.009 0.759 0.517
Pr 0.523 0.273 0.547
Pr 0.991 0.241 0.483
Pr 0.477 0.727 0.453
Pr 0.876 0.628 0.751
Pr 0.124 0.372 0.249
Pr 0.376 0.123 0.751
Pr 0.624 0.877 0.249
Y 0.225 0.975 0.950
Y 0.775 0.025 0.050
Y 0.721 0.467 0.251
Y 0.279 0.533 0.749
Y 0.030 0.783 0.251
Y 0.970 0.217 0.749

11.
Entry from Alexandria: a relaxed Pm2CdOsO8 crystal (PBE-GGA).

Values from the calculation:
formation energy from raw total energies: -1.94 eV/atom
symmetry: No. 12
theoretical density: 6.58 g cm⁻³
raw total energy: -84.54 eV for the cell shown

Cell lengths 4.990, 4.988, 7.316 Å; angles 89.56, 89.54, 92.79 degrees
Positions (direct):
Pm 0.486 0.485 0.744
Pm 0.514 0.515 0.256
Cd 0.000 0.000 0.500
Os 0.000 0.000 0.000
O 0.168 0.809 0.184
O 0.727 0.727 0.987
O 0.808 0.169 0.184
O 0.832 0.191 0.816
O 0.273 0.273 0.013
O 0.192 0.831 0.816
O 0.700 0.701 0.509
O 0.300 0.299 0.491

12.
Entry from Alexandria: a relaxed AsIrS crystal (PBE-GGA).

Values from the calculation:
formation energy from raw total energies: -0.13 eV/atom
symmetry: No. 1
theoretical density: 8.73 g cm⁻³
raw total energy: -36.08 eV for the cell shown

Cell lengths 3.934, 4.592, 6.496 Å; angles 93.49, 103.46, 91.28 degrees
Positions (direct):
As 0.265 0.211 0.803
As 0.617 0.280 0.346
Ir 0.731 0.497 0.708
Ir 0.055 0.214 0.122
S 0.873 0.708 0.078
S 0.186 0.780 0.610

Please write out number 11 again, unchanged.
Entry from Alexandria: a relaxed Pm2CdOsO8 crystal (PBE-GGA).

Values from the calculation:
formation energy from raw total energies: -1.94 eV/atom
symmetry: No. 12
theoretical density: 6.58 g cm⁻³
raw total energy: -84.54 eV for the cell shown

Cell lengths 4.990, 4.988, 7.316 Å; angles 89.56, 89.54, 92.79 degrees
Positions (direct):
Pm 0.486 0.485 0.744
Pm 0.514 0.515 0.256
Cd 0.000 0.000 0.500
Os 0.000 0.000 0.000
O 0.168 0.809 0.184
O 0.727 0.727 0.987
O 0.808 0.169 0.184
O 0.832 0.191 0.816
O 0.273 0.273 0.013
O 0.192 0.831 0.816
O 0.700 0.701 0.509
O 0.300 0.299 0.491